Record 1
## BiBSe2Br (PBE-GGA)

Data for a geometry-optimized BiBSe2Br structure.

The total magnetization is 0.0000 μB/atom. The calculation puts the energy above the most stable polymorph in this dataset at 0.0 meV per atom. For the density of states at the Fermi level, the calculation gives 0.39 states/eV/atom.

The structure belongs to space group P4/mmm (No. 123); the cell edges are 4.753, 4.753 and 4.555 Å and the angles 90.00°, 90.00° and 90.00°. The distinct sites, in fractional coordinates, are Bi at (0.000, 0.000, 0.000), B at (0.500, 0.500, 0.500), Se at (0.000, 0.500, 0.500) and Br at (0.500, 0.500, 0.000).

---

Record 2
## PaTcAu (PBE-GGA)

Data for a geometry-optimized PaTcAu structure.

The total magnetization is 0.0000 μB/atom. The calculation puts the energy above the most stable polymorph in this dataset at 0.0 meV per atom. As for the energy of formation from the pure elements: -0.194 eV per atom. For the density of states at the Fermi level, the calculation gives 0.90 states/eV/atom.

The structure belongs to space group P4/nmm (No. 129, origin choice 2); the cell edges are 3.757, 3.757 and 8.691 Å and the angles 90.00°, 90.00° and 90.00°. The distinct sites, in fractional coordinates, are Pa at (0.250, 0.250, 0.224), Tc at (0.250, 0.250, 0.946) and Au at (0.250, 0.250, 0.583).